An optimized crystal structure of SrCaBe2Cu. Source: Alexandria via LeMat-Bulk, functional PBEsol. Values from VASP.

Results
E = -13.59 eV/cell
ΔE_f = 52.4 kJ/mol of atoms

```
&SYSTEM
  ibrav = 0, nat = 5, ntyp = 4
/
ATOMIC_SPECIES
Sr 87.62 Sr.upf
Ca 40.08 Ca.upf
Be 9.01 Be.upf
Cu 63.55 Cu.upf
CELL_PARAMETERS angstrom
4.550 0.000 0.000
0.000 4.550 0.000
0.000 0.000 5.121
ATOMIC_POSITIONS crystal
Sr 0.000 0.000 0.000
Ca 0.500 0.500 0.000
Be 0.000 0.500 0.500
Be 0.500 0.000 0.500
Cu 0.000 0.000 0.500
```